[1]
24
Lattice="6.078 0.000 0.000 -3.039 5.264 0.000 0.000 0.000 14.504" Properties=species:S:1:pos:R:3 comment="GGA-PBE PuAl3, relaxed" total_magnetization_mub_per_atom=1.372 energy_ev_per_cell=-159.8 pbc="T T T"
Pu 0.000 0.000 3.626
Pu 0.000 0.000 10.878
Pu 0.000 3.509 1.286
Pu 0.000 3.509 5.966
Pu 3.039 1.755 8.538
Pu 3.039 1.755 13.218
Al -1.407 2.697 10.878
Al 0.000 1.769 8.445
Al 0.000 1.769 13.311
Al -1.507 4.379 8.445
Al -1.507 4.379 13.311
Al 1.532 0.884 1.193
Al 1.532 0.884 6.059
Al 1.407 2.697 10.878
Al 0.000 5.134 10.878
Al 3.039 0.130 3.626
Al 1.632 2.567 3.626
Al 1.507 4.379 8.445
Al 1.507 4.379 13.311
Al 4.546 0.884 1.193
Al 4.546 0.884 6.059
Al 3.039 3.495 1.193
Al 3.039 3.495 6.059
Al 4.446 2.567 3.626

=====

[2]
12
Lattice="2.005 -8.247 0.000 2.005 8.247 0.000 0.000 0.000 9.761" Properties=species:S:1:pos:R:3 comment="GGA-PBE RbCuTe2WS, relaxed" total_magnetization_mub_per_atom=0.300 energy_ev_per_cell=-58.6 pbc="T T T"
Rb 2.005 4.281 7.321
Rb 2.005 -4.281 2.440
Cu 2.005 7.918 2.440
Cu 2.005 -7.918 7.321
Te 2.005 6.337 0.428
Te 2.005 6.337 4.453
Te 2.005 -6.337 5.308
Te 2.005 -6.337 9.334
W 2.005 0.000 0.000
W 2.005 0.000 4.881
S 2.005 0.843 2.440
S 2.005 -0.843 7.321

=====

[3]
16
Lattice="5.901 0.000 0.000 0.000 7.310 0.000 0.000 0.000 4.829" Properties=species:S:1:pos:R:3 comment="GGA-PBE LiDyNO, relaxed" total_magnetization_mub_per_atom=0.235 energy_ev_per_cell=-101.5 pbc="T T T"
Li 0.443 0.678 0.000
Li 2.507 0.678 2.415
Li 3.394 6.632 0.000
Li 5.458 6.632 2.415
Dy 0.229 4.879 0.040
Dy 2.722 4.879 2.455
Dy 3.179 2.431 0.040
Dy 5.673 2.431 2.455
N 0.457 4.620 2.469
N 2.493 4.620 0.054
N 3.408 2.690 2.469
N 5.444 2.690 0.054
O 0.735 0.645 2.985
O 2.215 0.645 0.570
O 3.686 6.664 2.985
O 5.166 6.664 0.570

=====

[4]
9
Lattice="4.614 0.000 0.000 0.000 6.535 3.734 0.000 -6.535 3.734" Properties=species:S:1:pos:R:3 comment="GGA-PBE NdGd2Mg3Al2Cd, relaxed" total_magnetization_mub_per_atom=0.000 energy_ev_per_cell=-30.0 pbc="T T T"
Nd 0.000 0.000 0.000
Gd 0.000 -2.795 4.780
Gd 0.000 2.795 4.780
Mg 2.307 -1.604 2.280
Mg 2.307 1.604 2.280
Mg 2.307 0.000 5.027
Al 2.307 -4.331 3.182
Al 2.307 4.331 3.182
Cd 0.000 0.000 3.230

=====

[5]
9
Lattice="4.121 0.000 0.000 0.000 6.567 3.792 0.000 -6.567 3.792" Properties=species:S:1:pos:R:3 comment="GGA-PBE La2TmMg3Pt2Au, relaxed" total_magnetization_mub_per_atom=0.001 energy_ev_per_cell=-42.0 pbc="T T T"
La 0.000 -3.806 3.792
La 0.000 3.806 3.792
Tm 0.000 0.000 4.736
Mg 2.061 -1.574 2.554
Mg 2.061 1.574 2.554
Mg 2.061 0.000 7.273
Pt 2.061 -2.086 5.346
Pt 2.061 2.086 5.346
Au 0.000 0.000 1.664

=====

[6]
8
Lattice="3.431 1.981 6.266 -3.431 1.981 6.266 0.000 -3.962 6.266" Properties=species:S:1:pos:R:3 comment="GGA-PBE CsMoCl6, relaxed" total_magnetization_mub_per_atom=0.125 energy_ev_per_cell=-31.9 pbc="T T T"
Cs 0.000 0.000 0.000
Mo 0.000 0.000 9.399
Cl -1.659 -0.958 8.047
Cl 0.000 -1.916 10.751
Cl -1.659 0.958 10.751
Cl 1.659 -0.958 8.047
Cl 0.000 1.916 8.047
Cl 1.659 0.958 10.751